# Th2Pd4Pt (PBE, relaxed)
# crystal system: tetragonal
# space-group type: No. 136
# DOS at the Fermi energy: 0.487 states/eV/atom
# total DFT energy (no corrections): -6.75 eV/atom
data_Th2Pd4Pt
_chemical_formula_sum 'Th4 Pd8 Pt2'
_symmetry_space_group_name_H-M 'P 1'
_symmetry_Int_Tables_number 1
_cell_length_a 5.054
_cell_length_b 7.654
_cell_length_c 7.654
_cell_angle_alpha 90.00
_cell_angle_beta 90.00
_cell_angle_gamma 90.00
loop_
_symmetry_equiv_pos_as_xyz
'x,y,z'
loop_
_atom_site_label
_atom_site_fract_x
_atom_site_fract_y
_atom_site_fract_z
_atom_site_occupancy
Pd1 0.000 0.587 0.852 1
Pd2 0.000 0.148 0.413 1
Pd3 0.500 0.913 0.352 1
Pd4 0.000 0.852 0.587 1
Pd5 0.000 0.413 0.148 1
Pd6 0.500 0.648 0.087 1
Pd7 0.500 0.352 0.913 1
Pd8 0.500 0.087 0.648 1
Pt1 0.000 0.500 0.500 1
Pt2 0.500 0.000 0.000 1
Th1 0.500 0.308 0.308 1
Th2 0.500 0.692 0.692 1
Th3 0.000 0.808 0.192 1
Th4 0.000 0.192 0.808 1

=====

# LiTlAu2 (PBE, relaxed)
# crystal system: trigonal
# space-group type: No. 166
# DOS at the Fermi energy: 0.860 states/eV/atom
# total DFT energy (no corrections): -2.78 eV/atom
data_LiTlAu2
_chemical_formula_sum 'Li1 Tl1 Au2'
_symmetry_space_group_name_H-M 'P 1'
_symmetry_Int_Tables_number 1
_cell_length_a 9.290
_cell_length_b 9.290
_cell_length_c 9.290
_cell_angle_alpha 19.88
_cell_angle_beta 19.88
_cell_angle_gamma 19.88
loop_
_symmetry_equiv_pos_as_xyz
'x,y,z'
loop_
_atom_site_label
_atom_site_fract_x
_atom_site_fract_y
_atom_site_fract_z
_atom_site_occupancy
Au1 0.988 0.988 0.988 1
Au2 0.512 0.512 0.512 1
Tl1 0.750 0.750 0.750 1
Li1 0.250 0.250 0.250 1

=====

# BaCdP2S (PBE, relaxed)
# crystal system: tetragonal
# formation energy from raw total energies: 0.988 eV/atom
# space-group type: No. 123
# distance to the lowest polymorph of the same formula: 4.98 eV per formula unit
# DOS at the Fermi energy: 1.503 states/eV/atom
# total DFT energy (no corrections): -2.57 eV/atom
data_BaCdP2S
_chemical_formula_sum 'Ba1 Cd1 P2 S1'
_symmetry_space_group_name_H-M 'P 1'
_symmetry_Int_Tables_number 1
_cell_length_a 6.398
_cell_length_b 6.398
_cell_length_c 5.939
_cell_angle_alpha 90.00
_cell_angle_beta 90.00
_cell_angle_gamma 90.00
loop_
_symmetry_equiv_pos_as_xyz
'x,y,z'
loop_
_atom_site_label
_atom_site_fract_x
_atom_site_fract_y
_atom_site_fract_z
_atom_site_occupancy
S1 0.000 0.000 0.500 1
Cd1 0.500 0.500 0.500 1
P1 0.000 0.500 0.000 1
P2 0.500 0.000 0.000 1
Ba1 0.000 0.000 0.000 1

=====

# Pm7Ag2Pd2 (PBE, relaxed)
# crystal system: orthorhombic
# space-group type: No. 65
# DOS at the Fermi energy: 1.376 states/eV/atom
# total DFT energy (no corrections): -4.69 eV/atom
data_Pm7Ag2Pd2
_chemical_formula_sum 'Pm7 Ag2 Pd2'
_symmetry_space_group_name_H-M 'P 1'
_symmetry_Int_Tables_number 1
_cell_length_a 6.898
_cell_length_b 7.369
_cell_length_c 6.898
_cell_angle_alpha 90.00
_cell_angle_beta 109.27
_cell_angle_gamma 90.00
loop_
_symmetry_equiv_pos_as_xyz
'x,y,z'
loop_
_atom_site_label
_atom_site_fract_x
_atom_site_fract_y
_atom_site_fract_z
_atom_site_occupancy
Ag1 0.175 0.500 0.175 1
Ag2 0.825 0.500 0.825 1
Pd1 0.709 0.000 0.291 1
Pd2 0.291 0.000 0.709 1
Pm1 0.000 0.264 0.500 1
Pm2 0.500 0.264 0.000 1
Pm3 0.000 0.000 0.000 1
Pm4 0.000 0.736 0.500 1
Pm5 0.500 0.256 0.500 1
Pm6 0.500 0.744 0.500 1
Pm7 0.500 0.736 0.000 1

=====

# TlCdPd (PBE, relaxed)
# crystal system: monoclinic
# space-group type: No. 12
# DOS at the Fermi energy: 0.355 states/eV/atom
# total DFT energy (no corrections): -2.96 eV/atom
data_TlCdPd
_chemical_formula_sum 'Tl2 Cd2 Pd2'
_symmetry_space_group_name_H-M 'P 1'
_symmetry_Int_Tables_number 1
_cell_length_a 5.313
_cell_length_b 5.313
_cell_length_c 5.439
_cell_angle_alpha 96.88
_cell_angle_beta 96.88
_cell_angle_gamma 97.20
loop_
_symmetry_equiv_pos_as_xyz
'x,y,z'
loop_
_atom_site_label
_atom_site_fract_x
_atom_site_fract_y
_atom_site_fract_z
_atom_site_occupancy
Tl1 0.272 0.272 0.583 1
Tl2 0.728 0.728 0.417 1
Cd1 0.799 0.201 0.000 1
Cd2 0.201 0.799 0.000 1
Pd1 0.323 0.323 0.098 1
Pd2 0.677 0.677 0.902 1

=====

# NaHo5Au6 (PBE, relaxed)
# crystal system: orthorhombic
# space-group type: No. 65
# DOS at the Fermi energy: 0.579 states/eV/atom
# total DFT energy (no corrections): -4.44 eV/atom
data_NaHo5Au6
_chemical_formula_sum 'Na1 Ho5 Au6'
_symmetry_space_group_name_H-M 'P 1'
_symmetry_Int_Tables_number 1
_cell_length_a 5.013
_cell_length_b 7.153
_cell_length_c 8.020
_cell_angle_alpha 90.00
_cell_angle_beta 71.79
_cell_angle_gamma 90.00
loop_
_symmetry_equiv_pos_as_xyz
'x,y,z'
loop_
_atom_site_label
_atom_site_fract_x
_atom_site_fract_y
_atom_site_fract_z
_atom_site_occupancy
Na1 0.000 0.000 0.000 1
Au1 0.500 0.265 0.000 1
Au2 0.825 0.251 0.350 1
Au3 0.825 0.749 0.350 1
Au4 0.500 0.735 0.000 1
Au5 0.175 0.749 0.650 1
Au6 0.175 0.251 0.650 1
Ho1 0.666 0.500 0.669 1
Ho2 0.339 0.000 0.322 1
Ho3 0.661 0.000 0.678 1
Ho4 0.334 0.500 0.331 1
Ho5 0.000 0.500 0.000 1

=====

# LaPr4Sn4 (PBE, relaxed)
# crystal system: tetragonal
# space-group type: No. 86
# DOS at the Fermi energy: 1.330 states/eV/atom
# total DFT energy (no corrections): -4.93 eV/atom
data_LaPr4Sn4
_chemical_formula_sum 'La2 Pr8 Sn8'
_symmetry_space_group_name_H-M 'P 1'
_symmetry_Int_Tables_number 1
_cell_length_a 6.429
_cell_length_b 10.084
_cell_length_c 10.084
_cell_angle_alpha 90.00
_cell_angle_beta 90.00
_cell_angle_gamma 90.00
loop_
_symmetry_equiv_pos_as_xyz
'x,y,z'
loop_
_atom_site_label
_atom_site_fract_x
_atom_site_fract_y
_atom_site_fract_z
_atom_site_occupancy
Sn1 0.116 0.872 0.721 1
Sn2 0.384 0.628 0.779 1
Sn3 0.384 0.372 0.221 1
Sn4 0.116 0.128 0.279 1
Sn5 0.616 0.221 0.628 1
Sn6 0.616 0.779 0.372 1
Sn7 0.884 0.279 0.872 1
Sn8 0.884 0.721 0.128 1
La1 0.000 0.000 0.000 1
La2 0.500 0.500 0.500 1
Pr1 0.117 0.172 0.595 1
Pr2 0.383 0.328 0.905 1
Pr3 0.117 0.828 0.405 1
Pr4 0.883 0.405 0.172 1
Pr5 0.383 0.672 0.095 1
Pr6 0.617 0.095 0.328 1
Pr7 0.617 0.905 0.672 1
Pr8 0.883 0.595 0.828 1

=====

# Ac3La4WN8 (PBE, relaxed)
# crystal system: trigonal
# formation energy from raw total energies: -0.993 eV/atom
# space-group type: No. 166
# DOS at the Fermi energy: 0.238 states/eV/atom
# total DFT energy (no corrections): -7.97 eV/atom
data_Ac3La4WN8
_chemical_formula_sum 'Ac3 La4 W1 N8'
_symmetry_space_group_name_H-M 'P 1'
_symmetry_Int_Tables_number 1
_cell_length_a 7.398
_cell_length_b 7.347
_cell_length_c 7.398
_cell_angle_alpha 120.23
_cell_angle_beta 120.00
_cell_angle_gamma 90.00
loop_
_symmetry_equiv_pos_as_xyz
'x,y,z'
loop_
_atom_site_label
_atom_site_fract_x
_atom_site_fract_y
_atom_site_fract_z
_atom_site_occupancy
La1 0.500 0.000 0.000 1
La2 0.000 0.000 0.000 1
La3 0.000 0.000 0.500 1
La4 0.500 0.000 0.500 1
Ac1 0.500 0.500 0.000 1
Ac2 0.000 0.500 0.500 1
Ac3 0.500 0.500 0.500 1
N1 0.245 0.234 0.489 1
N2 0.205 0.285 0.995 1
N3 0.790 0.285 0.580 1
N4 0.210 0.715 0.005 1
N5 0.795 0.715 0.005 1
N6 0.210 0.715 0.420 1
N7 0.790 0.285 0.995 1
N8 0.755 0.766 0.511 1
W1 0.000 0.500 0.000 1